A plane-wave DFT calculation with PBE-GGA was carried out for crystalline AlCd2Te at its relaxed geometry.

Computed properties:
The calculation puts the magnetic moment at 0.00 μB/f.u. The uncorrected formation energy is 187 meV/atom.

Cell: 5.519 5.519 5.519 Å, 128.98 128.98 75.04°
Element x y z (fractional)
Cd (0.000, 0.000, 0.000)
Cd (0.250, 0.750, 0.500)
Te (0.500, 0.500, 0.000)
Al (0.750, 0.250, 0.500)